Below is an optimized crystal structure of Tb3Ho5Sc2, with properties calculated at the PBE level.

**Energy above the lowest structure with this stoichiometry**: 0.3478 eV/atom
**Fermi-level density of states**: 1.78 states/eV per atom
**Space group**: Ibam (72)
**Total magnetic moment**: 0.000 μB per atom
**Energy of formation**: 0.385 eV/atom

Cell lengths 6.657, 12.104, 12.104 Å; angles 44.05, 74.04, 74.04 degrees
Element x y z (fractional)
Ho  0.493  0.757  0.757
Ho  0.370  0.733  0.526
Ho  0.870  0.526  0.733
Ho  0.007  0.243  0.243
Ho  0.630  0.267  0.474
Ho  0.993  0.757  0.757
Ho  0.507  0.243  0.243
Ho  0.130  0.474  0.267
Ho  0.250  0.500  0.500
Ho  0.750  0.500  0.500
Sc  0.121  0.797  0.961
Sc  0.621  0.961  0.797
Sc  0.879  0.203  0.039
Sc  0.379  0.039  0.203
Tb  0.874  0.877  0.375
Tb  0.750  0.000  0.000
Tb  0.374  0.375  0.877
Tb  0.126  0.123  0.625
Tb  0.626  0.625  0.123
Tb  0.250  0.000  0.000


Below is an optimized crystal structure of Tb5Ho6Sc, with properties calculated at the PBE level.

**Fermi-level density of states**: 1.35 states/eV per atom
**Space group**: C2/m (12)
**Total magnetic moment**: 0.000 μB per atom
**Energy of formation**: 0.026 eV/atom

Cell lengths 11.661, 6.093, 6.090 Å; angles 59.98, 85.02, 80.01 degrees
Element x y z (fractional)
Ho  0.753  0.082  0.331
Ho  0.752  0.751  0.000
Ho  0.247  0.918  0.669
Ho  0.248  0.249  0.000
Ho  0.247  0.587  0.331
Ho  0.753  0.413  0.669
Tb  0.500  0.834  0.333
Tb  0.500  0.500  0.000
Tb  0.000  0.334  0.333
Tb  0.000  0.666  0.667
Tb  0.500  0.166  0.667
Sc  0.000  0.000  0.000